Entry 1:
DFT (PBE) results for a relaxed structure of Tl2CdTc.

Structure (CIF):
```
data_Tl2CdTc
_chemical_formula_sum 'Tl2 Cd1 Tc1'
_space_group_name_H-M_alt 'P 1 m 1'
_space_group_IT_number 6
_cell_length_a 3.260
_cell_length_b 4.834
_cell_length_c 5.808
_cell_angle_alpha 90.00
_cell_angle_beta 99.58
_cell_angle_gamma 90.00
loop_
_space_group_symop_operation_xyz
'x,y,z'
'x,-y,z'
loop_
_atom_site_label
_atom_site_type_symbol
_atom_site_fract_x
_atom_site_fract_y
_atom_site_fract_z
Tl1 Tl 0.000 0.000 0.000
Tl2 Tl 0.388 0.500 0.719
Cd1 Cd 0.626 0.500 0.264
Tc1 Tc 0.034 0.000 0.494
```

Output
Its polymorph energy (0 for the lowest one) is 155 meV per atom. The value obtained for the volume is 90.3 Å³ per cell. As for the magnetization: 0.390 μB/atom. The calculation puts the formation energy at 0.61 eV per atom. As for the density of states at the Fermi level: 2.50 states/eV/f.u.

***

Entry 2:
DFT (PBE) results for a relaxed structure of HfTa2HAu.

Structure (CIF):
```
data_HfTa2HAu
_chemical_formula_sum 'Hf1 Ta2 H1 Au1'
_space_group_name_H-M_alt 'P 4/m m m'
_space_group_IT_number 123
_space_group_name_Hall '-P 4 2'
_cell_length_a 4.120
_cell_length_b 4.120
_cell_length_c 4.511
_cell_angle_alpha 90.00
_cell_angle_beta 90.00
_cell_angle_gamma 90.00
loop_
_atom_site_label
_atom_site_type_symbol
_atom_site_fract_x
_atom_site_fract_y
_atom_site_fract_z
Hf1 Hf 0.000 0.000 0.000
Ta1 Ta 0.000 0.500 0.500
H1 H 0.000 0.000 0.500
Au1 Au 0.500 0.500 0.000
```

Output
The value obtained for the volume is 76.6 Å³ per cell. The final energy comes out at -40.9 eV for the cell shown. As for the magnetization: 0.000 μB/atom. As for the density of states at the Fermi level: 4.57 states/eV/f.u.

***

Entry 3:
DFT (PBE) results for a relaxed structure of HfAlNi.

Structure (CIF):
```
data_HfAlNi
_chemical_formula_sum 'Hf3 Al3 Ni3'
_space_group_name_H-M_alt 'P -6 2 m'
_space_group_IT_number 189
_space_group_name_Hall 'P -6 -2'
_cell_length_a 6.7758
_cell_length_b 6.7758
_cell_length_c 3.5575
_cell_angle_alpha 90.00
_cell_angle_beta 90.00
_cell_angle_gamma 120.00
loop_
_atom_site_label
_atom_site_type_symbol
_atom_site_fract_x
_atom_site_fract_y
_atom_site_fract_z
Hf1 Hf 0.0000 0.5889 0.0000
Al1 Al 0.0000 0.2481 0.5000
Ni1 Ni 0.0000 0.0000 0.0000
Ni2 Ni 0.3333 0.6667 0.5000
```

Output
The value obtained for the volume is 141.4 Å³ per cell. As for the magnetization: 0.000 μB/atom. The calculation puts the formation energy at -0.65 eV per atom. As for the density of states at the Fermi level: 1.63 states/eV/f.u.

***

Entry 4:
DFT (PBE) results for a relaxed structure of RbNa2AlZn.

Structure (CIF):
```
data_RbNa2AlZn
_chemical_formula_sum 'Rb1 Na2 Al1 Zn1'
_space_group_name_H-M_alt 'P 4/m m m'
_space_group_IT_number 123
_space_group_name_Hall '-P 4 2'
_cell_length_a 5.999
_cell_length_b 5.999
_cell_length_c 4.919
_cell_angle_alpha 90.00
_cell_angle_beta 90.00
_cell_angle_gamma 90.00
loop_
_atom_site_label
_atom_site_type_symbol
_atom_site_fract_x
_atom_site_fract_y
_atom_site_fract_z
Rb1 Rb 0.000 0.000 0.000
Na1 Na 0.000 0.500 0.500
Al1 Al 0.500 0.500 0.500
Zn1 Zn 0.500 0.500 0.000
```

Output
Its polymorph energy (0 for the lowest one) is 11 meV per atom. The value obtained for the volume is 177.1 Å³ per cell. As for the magnetization: 0.000 μB/atom. The calculation puts the formation energy at 0.16 eV per atom. As for the density of states at the Fermi level: 1.44 states/eV/f.u.

***

Entry 5:
DFT (PBE) results for a relaxed structure of SrTlCuPd3.

Structure (CIF):
```
data_SrTlCuPd3
_chemical_formula_sum 'Sr4 Tl4 Cu4 Pd12'
_space_group_name_H-M_alt 'C m c m'
_space_group_IT_number 63
_space_group_name_Hall '-C 2c 2'
_cell_length_a 6.083
_cell_length_b 12.783
_cell_length_c 6.475
_cell_angle_alpha 90.00
_cell_angle_beta 90.00
_cell_angle_gamma 90.00
loop_
_atom_site_label
_atom_site_type_symbol
_atom_site_fract_x
_atom_site_fract_y
_atom_site_fract_z
Sr1 Sr 0.000 0.190 0.250
Tl1 Tl 0.000 0.146 0.750
Cu1 Cu 0.000 0.420 0.250
Pd1 Pd 0.000 0.363 0.750
Pd2 Pd 0.232 0.000 0.000
```

Output
The value obtained for the volume is 503.5 Å³ per cell. As for the magnetization: 0.000 μB/atom. The calculation puts the formation energy at -0.22 eV per atom. As for the density of states at the Fermi level: 2.24 states/eV/f.u.

***

Entry 6:
DFT (PBE) results for a relaxed structure of BeIr2W.

Structure (CIF):
```
data_BeIr2W
_chemical_formula_sum 'Be1 Ir2 W1'
_space_group_name_H-M_alt 'P 4 m m'
_space_group_IT_number 99
_cell_length_a 2.799
_cell_length_b 2.799
_cell_length_c 6.749
_cell_angle_alpha 90.00
_cell_angle_beta 90.00
_cell_angle_gamma 90.00
loop_
_space_group_symop_operation_xyz
'x,y,z'
'-y,x,z'
'-x,-y,z'
'y,-x,z'
'-x,y,z'
'y,x,z'
'x,-y,z'
'-y,-x,z'
loop_
_atom_site_label
_atom_site_type_symbol
_atom_site_fract_x
_atom_site_fract_y
_atom_site_fract_z
Be1 Be 0.000 0.000 0.000
Ir1 Ir 0.000 0.000 0.475
Ir2 Ir 0.500 0.500 0.181
W1 W 0.500 0.500 0.759
```

Output
The value obtained for the volume is 52.9 Å³ per cell. As for the magnetization: 0.000 μB/atom. The calculation puts the formation energy at -0.19 eV per atom. As for the density of states at the Fermi level: 3.57 states/eV/f.u.

***

Entry 7:
DFT (PBE) results for a relaxed structure of Zr3NbRu4.

Structure (CIF):
```
data_Zr3NbRu4
_chemical_formula_sum 'Zr3 Nb1 Ru4'
_space_group_name_H-M_alt 'P m m m'
_space_group_IT_number 47
_cell_length_a 3.245
_cell_length_b 4.605
_cell_length_c 9.201
_cell_angle_alpha 90.00
_cell_angle_beta 90.00
_cell_angle_gamma 90.00
loop_
_space_group_symop_operation_xyz
'x,y,z'
'-x,-y,-z'
'-x,-y,z'
'x,y,-z'
'x,-y,-z'
'-x,y,z'
'-x,y,-z'
'x,-y,z'
loop_
_atom_site_label
_atom_site_type_symbol
_atom_site_fract_x
_atom_site_fract_y
_atom_site_fract_z
Zr1 Zr 0.000 0.000 0.000
Zr2 Zr 0.000 0.500 0.254
Nb1 Nb 0.000 0.000 0.500
Ru1 Ru 0.500 0.000 0.257
Ru2 Ru 0.500 0.500 0.000
Ru3 Ru 0.500 0.500 0.500
```

Output
The value obtained for the volume is 137.5 Å³ per cell. As for the magnetization: 0.000 μB/atom. The calculation puts the formation energy at -0.53 eV per atom. As for the density of states at the Fermi level: 3.59 states/eV/f.u.

***

Entry 8:
DFT (PBE) results for a relaxed structure of Pr4Nd2Tl3O2.

Structure (CIF):
```
data_Pr4Nd2Tl3O2
_chemical_formula_sum 'Pr8 Nd4 Tl6 O4'
_space_group_name_H-M_alt 'I 4/m m m'
_space_group_IT_number 139
_space_group_name_Hall '-I 4 2'
_cell_length_a 4.903
_cell_length_b 4.903
_cell_length_c 25.854
_cell_angle_alpha 90.00
_cell_angle_beta 90.00
_cell_angle_gamma 90.00
loop_
_atom_site_label
_atom_site_type_symbol
_atom_site_fract_x
_atom_site_fract_y
_atom_site_fract_z
Pr1 Pr 0.000 0.500 0.086
Nd1 Nd 0.000 0.000 0.198
Tl1 Tl 0.000 0.000 0.323
Tl2 Tl 0.000 0.000 0.500
O1 O 0.000 0.000 0.104
```

Output
The value obtained for the volume is 621.6 Å³ per cell. As for the magnetization: 0.000 μB/atom. For the formation energy (no corrections), the calculation gives -1.182 eV/atom. As for the density of states at the Fermi level: 6.91 states/eV/f.u.